Crystalline Sr2AlCuRe at its relaxed geometry. Source: the Alexandria database, functional PBE-GGA.

a b c (Å): 5.646 5.646 4.592
angles (deg): 90.00 90.00 90.00
Space group P4/mmm (No. 123)
One atom of each set of equivalent atoms:
Sr 0.000 0.500 0.000 (multiplicity 2)
Al 0.000 0.000 0.500 (multiplicity 1)
Cu 0.000 0.000 0.000 (multiplicity 1)
Re 0.500 0.500 0.500 (multiplicity 1)

Energy of formation from the pure elements, eV/atom: 0.960



Crystalline TaAlCu2Re at its relaxed geometry. Source: the Alexandria database, functional PBE-GGA.

a b c (Å): 4.207 4.207 4.639
angles (deg): 90.00 90.00 90.00
Space group P4/mmm (No. 123)
One atom of each set of equivalent atoms:
Ta 0.000 0.000 0.000 (multiplicity 1)
Al 0.500 0.500 0.500 (multiplicity 1)
Cu 0.000 0.500 0.500 (multiplicity 2)
Re 0.500 0.500 0.000 (multiplicity 1)

Energy of formation from the pure elements, eV/atom: 1.020



Crystalline TiAlCuRe at its relaxed geometry. Source: the Alexandria database, functional PBE-GGA.

a b c (Å): 6.132 6.132 6.132
angles (deg): 90.00 90.00 90.00
Space group F-43m (No. 216)
One atom of each set of equivalent atoms:
Ti 0.000 0.000 0.000 (multiplicity 4)
Al 0.000 0.000 0.500 (multiplicity 4)
Cu 0.250 0.250 0.250 (multiplicity 4)
Re 0.250 0.250 0.750 (multiplicity 4)

Energy of formation from the pure elements, eV/atom: -0.213



Crystalline AlVCuRe at its relaxed geometry. Source: the Alexandria database, functional PBE-GGA.

a b c (Å): 6.027 6.027 6.027
angles (deg): 90.00 90.00 90.00
Space group F-43m (No. 216)
One atom of each set of equivalent atoms:
Al 0.000 0.000 0.000 (multiplicity 4)
V 0.000 0.000 0.500 (multiplicity 4)
Cu 0.250 0.250 0.750 (multiplicity 4)
Re 0.250 0.250 0.250 (multiplicity 4)

Energy of formation from the pure elements, eV/atom: -0.120



Crystalline ZrAlCuRe2 at its relaxed geometry. Source: the Alexandria database, functional PBE-GGA.

a b c (Å): 4.795 4.795 5.074
angles (deg): 90.00 90.00 90.00
Space group P4/mmm (No. 123)
One atom of each set of equivalent atoms:
Zr 0.000 0.000 0.000 (multiplicity 1)
Al 0.000 0.000 0.500 (multiplicity 1)
Cu 0.500 0.500 0.500 (multiplicity 1)
Re 0.000 0.500 0.000 (multiplicity 2)

Energy of formation from the pure elements, eV/atom: 2.275



Crystalline AlCuRh2 at its relaxed geometry. Source: the Alexandria database, functional PBE-GGA.

a b c (Å): 2.791 4.055 5.014
angles (deg): 90.00 106.06 90.00
Space group Pm (No. 6)
One atom of each set of equivalent atoms:
Al 0.000 0.000 0.000 (multiplicity 1)
Cu 0.145 0.500 0.298 (multiplicity 1)
Rh 0.411 0.500 0.822 (multiplicity 1)
Rh 0.734 0.000 0.474 (multiplicity 1)

Energy of formation from the pure elements, eV/atom: -0.372